Entry 1:
First-principles (GGA-PBEsol) data for a relaxed structure of Sc2InAuI, as listed in Alexandria via LeMat-Bulk.

As for the size of the total moment: 0.0006 μB per atom. The total energy comes out at -20.7 eV per formula unit. The value obtained for the uncorrected formation energy is 0.240 eV/atom. For the density of states at the Fermi level, the calculation gives 0.908 states/eV/atom.

It has space group P4/mmm (No. 123), with a = 5.422 Å, b = 5.422 Å, c = 5.002 Å, α = 90.00°, β = 90.00° and γ = 90.00°. Symmetry generates all atoms from Sc at (0.000, 0.500, 0.000), In at (0.000, 0.000, 0.000), Au at (0.000, 0.000, 0.500) and I at (0.500, 0.500, 0.500).

Entry 2:
First-principles (GGA-PBEsol) data for a relaxed structure of IrAuI2, as listed in Alexandria via LeMat-Bulk.

As for the size of the total moment: 0.0004 μB per atom. The total energy comes out at -13.0 eV per formula unit. The value obtained for the uncorrected formation energy is 1.062 eV/atom. For the density of states at the Fermi level, the calculation gives 1.369 states/eV/atom.

It has space group Fm-3m (No. 225), with a = 6.997 Å, b = 6.997 Å, c = 6.997 Å, α = 90.00°, β = 90.00° and γ = 90.00°. Symmetry generates all atoms from Ir at (0.000, 0.000, 0.000), Au at (0.000, 0.000, 0.500) and I at (0.250, 0.250, 0.250).

Entry 3:
First-principles (GGA-PBEsol) data for a relaxed structure of K2AuI, as listed in Alexandria via LeMat-Bulk.

As for the size of the total moment: 0.0000 μB per atom. The total energy comes out at -10.9 eV per formula unit. The value obtained for the uncorrected formation energy is -0.740 eV/atom. For the density of states at the Fermi level, the calculation gives 0.000 states/eV/atom.

It has space group Fm-3m (No. 225), with a = 8.108 Å, b = 8.108 Å, c = 8.108 Å, α = 90.00°, β = 90.00° and γ = 90.00°. Symmetry generates all atoms from K at (0.250, 0.250, 0.250), Au at (0.000, 0.000, 0.000) and I at (0.000, 0.000, 0.500).